Entry from the Alexandria database: Si4TcHg at its PBEsol-relaxed geometry (meta-GGA SCAN).

- total energy (eV/atom) = -23.128
- crystal system = cubic

Cell: 7.0937 7.0937 7.0937 Å, 90.00 90.00 90.00°
Space group F-43m (No. 216)
Symmetry-distinct sites (fractional):
Si: 0.1238 0.1238 0.1238 x16
Tc: 0.2500 0.2500 0.7500 x4
Hg: 0.0000 0.0000 0.5000 x4